# RbGa4Au9

A geometry-optimized RbGa4Au9 structure (PBE, Alexandria).

Properties
Formation energy from the elements (eV per atom): -0.19
Raw total energy (eV per atom): -3.233
Theoretical density (g/cm³): 12.418

Cell: 9.5724 9.5724 12.4742 Å, 90.00 90.00 90.00°
With the nearest neighbours (Å) after each atom.
Space group I4/mcm (No. 140)
Inequivalent atoms, fractional coordinates:
Rb  0.0000  0.0000  0.2500  16 Au 3.69-3.84, 8 Ga 3.86
Ga  0.1932  0.3068  0.1137  4 Au 2.60-2.71, 1 Ga 2.84
Au  0.0000  0.5000  0.0000  8 Au 2.83-2.94, 4 Ga 2.98
Au  0.0259  0.2052  0.5000  2 Ga 2.71, 5 Au 2.80-3.03
Au  0.1280  0.3720  0.3095  2 Ga 2.60, 2 Au 2.87



# Rb3GaAu

A geometry-optimized Rb3GaAu structure (PBE, Alexandria).

Properties
Formation energy from the elements (eV per atom): -0.08
Polymorph energy (0 for the lowest one) (meV/atom): 0
Raw total energy (eV per atom): -1.920
Theoretical density (g/cm³): 3.809

Cell: 7.6781 10.7335 11.0696 Å, 90.00 90.63 90.00°
With the nearest neighbours (Å) after each atom.
Space group P2_1/c (No. 14)
Inequivalent atoms, fractional coordinates:
Rb  0.2264  0.0420  0.3420  3 Au 3.62-3.97, 3 Ga 3.73-3.92
Rb  0.2323  0.0524  0.9070  2 Au 3.62-3.87, 2 Ga 3.66-3.83
Rb  0.2682  0.7029  0.1252  2 Au 3.76-3.82, 2 Ga 3.87-3.97, 3 Rb 4.10-4.19
Ga  0.3857  0.1932  0.6260  1 Au 2.52
Au  0.0619  0.2315  0.6268  1 Ga 2.52